(1)
The following is a PBE calculation of crystalline Tb3Ge3Ir2 at its relaxed geometry, from Alexandria.

Properties
**Electronic total energy**: -6.60 eV per atom
**Distance to the lowest polymorph of the same formula**: 0 meV/atom

The structure in CIF format:
```
data_Tb3Ge3Ir2
_cell_length_a 4.327
_cell_length_b 10.557
_cell_length_c 14.372
_cell_angle_alpha 90.00
_cell_angle_beta 90.00
_cell_angle_gamma 90.00
_symmetry_space_group_name_H-M 'C m c m'
_symmetry_Int_Tables_number 63
_symmetry_space_group_name_Hall '-C 2c 2'
loop_
_atom_site_label
_atom_site_fract_x
_atom_site_fract_y
_atom_site_fract_z
Tb1 0.000 0.084 0.110
Tb2 0.000 0.358 0.250
Ge1 0.000 0.343 0.750
Ge2 0.000 0.376 0.035
Ir1 0.000 0.200 0.602
```

(2)
The following is a PBE calculation of crystalline TbGe2Ir2 at its relaxed geometry, from Alexandria.

Properties
**Electronic total energy**: -7.08 eV per atom

The structure in CIF format:
```
data_TbGe2Ir2
_cell_length_a 4.231
_cell_length_b 4.231
_cell_length_c 10.149
_cell_angle_alpha 90.00
_cell_angle_beta 90.00
_cell_angle_gamma 90.00
_symmetry_space_group_name_H-M 'P 4/n m m'
_symmetry_Int_Tables_number 129
loop_
_symmetry_equiv_pos_as_xyz
'x,y,z'
'-x,-y,-z'
'-y+1/2,x,z'
'y+1/2,-x,-z'
'-x+1/2,-y+1/2,z'
'x+1/2,y+1/2,-z'
'y,-x+1/2,z'
'-y,x+1/2,-z'
'x+1/2,-y,-z'
'-x+1/2,y,z'
'-y,-x,-z'
'y,x,z'
'-x,y+1/2,-z'
'x,-y+1/2,z'
'y+1/2,x+1/2,-z'
'-y+1/2,-x+1/2,z'
loop_
_atom_site_label
_atom_site_fract_x
_atom_site_fract_y
_atom_site_fract_z
Tb1 0.250 0.250 0.247
Ge1 0.250 0.250 0.632
Ge2 0.250 0.750 0.000
Ir1 0.250 0.250 0.871
Ir2 0.250 0.750 0.500
```

Look up the electronic total energy of the first one. -6.60 eV per atom